Record 1
Density functional theory data (SCAN) for FePt at its PBEsol-relaxed geometry.

Lattice parameters (Å, degrees): 2.772 4.388 8.838 90.00 90.00 90.00
Positions (direct):
1 Fe 0.000 0.250 0.140
2 Fe 0.000 0.750 0.860
3 Fe 0.500 0.250 0.360
4 Fe 0.500 0.750 0.640
5 Pt 0.000 0.250 0.609
6 Pt 0.000 0.750 0.391
7 Pt 0.500 0.250 0.891
8 Pt 0.500 0.750 0.109

Energy relative to the elements (eV/atom): -0.31
SG: Imma (74)
Crystal system: orthorhombic
Total magnetization (Bohr magnetons per cell): 13.80
DFT total energy (eV/cell): -355.78

Record 2
Density functional theory data (SCAN) for FePt3 at its PBEsol-relaxed geometry.

Lattice parameters (Å, degrees): 2.718 2.718 26.750 90.00 90.00 120.00
Positions (direct):
1 Fe 0.000 0.000 0.000
2 Fe 0.333 0.667 0.667
3 Fe 0.667 0.333 0.333
4 Pt 0.000 0.000 0.256
5 Pt 0.000 0.000 0.500
6 Pt 0.000 0.000 0.744
7 Pt 0.333 0.667 0.167
8 Pt 0.333 0.667 0.411
9 Pt 0.333 0.667 0.922
10 Pt 0.667 0.333 0.078
11 Pt 0.667 0.333 0.589
12 Pt 0.667 0.333 0.833

Energy relative to the elements (eV/atom): -0.20
SG: R-3m (166)
Crystal system: trigonal
Total magnetization (Bohr magnetons per cell): 11.84
DFT total energy (eV/cell): -688.55

Record 3
Density functional theory data (SCAN) for Fe2Pt at its PBEsol-relaxed geometry.

Lattice parameters (Å, degrees): 4.706 4.706 4.706 60.00 60.00 60.00
Positions (direct):
1 Fe 0.000 0.000 0.000
2 Fe 0.000 0.000 0.500
3 Fe 0.000 0.500 0.000
4 Fe 0.500 0.000 0.000
5 Pt 0.375 0.375 0.375
6 Pt 0.625 0.625 0.625

Energy relative to the elements (eV/atom): -0.23
SG: Fd-3m (227)
Crystal system: cubic
Total magnetization (Bohr magnetons per cell): 11.81
DFT total energy (eV/cell): -214.27

Record 4
Density functional theory data (SCAN) for FePt3 at its PBEsol-relaxed geometry.

Lattice parameters (Å, degrees): 8.681 8.681 2.680 90.00 90.00 120.00
Positions (direct):
1 Fe 0.000 0.000 0.000
2 Fe 0.333 0.667 0.667
3 Fe 0.667 0.333 0.333
4 Pt 0.000 0.500 0.000
5 Pt 0.167 0.333 0.333
6 Pt 0.167 0.833 0.333
7 Pt 0.333 0.167 0.667
8 Pt 0.500 0.000 0.000
9 Pt 0.500 0.500 0.000
10 Pt 0.667 0.833 0.333
11 Pt 0.833 0.167 0.667
12 Pt 0.833 0.667 0.667

Energy relative to the elements (eV/atom): -0.10
SG: R-3m (166)
Crystal system: trigonal
Total magnetization (Bohr magnetons per cell): 11.44
DFT total energy (eV/cell): -687.36

Record 5
Density functional theory data (SCAN) for Rb2FePt at its PBEsol-relaxed geometry.

Lattice parameters (Å, degrees): 7.780 7.780 7.780 90.00 90.00 90.00
Positions (direct):
1 Rb 0.250 0.250 0.250
2 Rb 0.250 0.250 0.750
3 Rb 0.250 0.750 0.250
4 Rb 0.250 0.750 0.750
5 Rb 0.750 0.250 0.250
6 Rb 0.750 0.250 0.750
7 Rb 0.750 0.750 0.250
8 Rb 0.750 0.750 0.750
9 Fe 0.000 0.000 0.000
10 Fe 0.000 0.500 0.500
11 Fe 0.500 0.000 0.500
12 Fe 0.500 0.500 0.000
13 Pt 0.000 0.000 0.500
14 Pt 0.000 0.500 0.000
15 Pt 0.500 0.000 0.000
16 Pt 0.500 0.500 0.500

Energy relative to the elements (eV/atom): 0.89
SG: Fm-3m (225)
Crystal system: cubic
Total magnetization (Bohr magnetons per cell): 15.91
DFT total energy (eV/cell): -505.02

Record 6
Density functional theory data (SCAN) for FeRePt2 at its PBEsol-relaxed geometry.

Lattice parameters (Å, degrees): 3.760 3.760 3.920 90.00 90.00 90.00
Positions (direct):
1 Fe 0.000 0.000 0.000
2 Re 0.500 0.500 0.000
3 Pt 0.000 0.500 0.500
4 Pt 0.500 0.000 0.500

Polymorph energy (0 for the lowest one) (meV per atom): 194
Energy relative to the elements (eV/atom): -0.06
SG: P4/mmm (123)
Crystal system: tetragonal
Total magnetization (Bohr magnetons per cell): 2.98
DFT total energy (eV/cell): -229.87

Record 7
Density functional theory data (SCAN) for FeRePt2 at its PBEsol-relaxed geometry.

Lattice parameters (Å, degrees): 2.684 3.926 5.302 90.00 90.00 90.00
Positions (direct):
1 Fe 0.000 0.000 0.000
2 Re 0.000 0.000 0.500
3 Pt 0.500 0.500 0.250
4 Pt 0.500 0.500 0.750

Polymorph energy (0 for the lowest one) (meV per atom): 51
Energy relative to the elements (eV/atom): -0.21
SG: Pmmm (47)
Crystal system: orthorhombic
Total magnetization (Bohr magnetons per cell): 3.39
DFT total energy (eV/cell): -230.45

Record 8
Density functional theory data (SCAN) for FeRePt2 at its PBEsol-relaxed geometry.

Lattice parameters (Å, degrees): 2.675 4.368 4.792 90.00 90.00 90.00
Positions (direct):
1 Fe 0.000 0.000 0.000
2 Re 0.000 0.500 0.314
3 Pt 0.500 0.000 0.488
4 Pt 0.500 0.500 0.826

Polymorph energy (0 for the lowest one) (meV per atom): 0
Energy relative to the elements (eV/atom): -0.26
SG: Pmm2 (25)
Crystal system: orthorhombic
Total magnetization (Bohr magnetons per cell): 3.23
DFT total energy (eV/cell): -230.65